# AcBeCo, optimized geometry, DFT PBE-GGA
data_AcBeCo
_chemical_formula_sum 'Ac4 Be4 Co4'
_cell_length_a 6.380
_cell_length_b 6.380
_cell_length_c 6.380
_cell_angle_alpha 90.00
_cell_angle_beta 90.00
_cell_angle_gamma 90.00
_symmetry_space_group_name_H-M 'F -4 3 m'
_symmetry_Int_Tables_number 216
_symmetry_space_group_name_Hall 'F -4 2 3'
loop_
_atom_site_label
_atom_site_fract_x
_atom_site_fract_y
_atom_site_fract_z
_atom_site_occupancy
Ac1 0.000 0.000 0.000 1
Be1 0.250 0.250 0.250 1
Co1 0.000 0.000 0.500 1
# - Crystal system: cubic
# - Mass density: 7.54 g/cm³
# - E: -4.35 eV/atom
# - Polymorph energy (0 for the lowest one): 0.000 eV per atom